{"formula": "Cr3Au", "functional": "PBE", "state": "optimized geometry", "mass_density_g_cm3": 9.79, "ef_ev_per_atom": 0.310, "spacegroup": "Fm-3m (225)", "final_energy_ry_per_atom": -0.5679, "cell": [[0.000, 3.105, 3.105], [3.105, 0.000, 3.105], [3.105, 3.105, 0.000]], "species": ["Cr", "Cr", "Cr", "Au"], "frac_coords": [[0.000, 0.000, 0.000], [0.250, 0.250, 0.250], [0.750, 0.750, 0.750], [0.500, 0.500, 0.500]]}

***

{"formula": "Cr3Au", "functional": "PBE", "state": "optimized geometry", "mass_density_g_cm3": 10.79, "ef_ev_per_atom": 0.293, "spacegroup": "P2/m (10)", "final_energy_ry_per_atom": -0.5691, "cell": [[2.679, 0.000, 0.000], [0.000, 3.772, 0.000], [-0.650, 0.000, 5.372]], "species": ["Cr", "Cr", "Cr", "Au"], "frac_coords": [[0.000, 0.000, 0.000], [0.418, 0.500, 0.195], [0.582, 0.500, 0.805], [0.000, 0.000, 0.500]]}

***

{"formula": "Cr3Au", "functional": "PBE", "state": "optimized geometry", "mass_density_g_cm3": 10.34, "ef_ev_per_atom": 0.392, "spacegroup": "R-3m (166)", "final_energy_ry_per_atom": -0.5619, "cell": [[1.407, 0.812, 8.264], [-1.407, 0.812, 8.264], [0.000, -1.625, 8.264]], "species": ["Cr", "Cr", "Cr", "Au"], "frac_coords": [[0.000, 0.000, 0.000], [0.261, 0.261, 0.261], [0.739, 0.739, 0.739], [0.500, 0.500, 0.500]]}

***

{"formula": "Cr3Au", "functional": "PBE", "state": "optimized geometry", "mass_density_g_cm3": 10.37, "ef_ev_per_atom": 0.430, "spacegroup": "P-6m2 (187)", "final_energy_ry_per_atom": -0.5591, "cell": [[2.812, 0.000, 0.000], [-1.406, 2.435, 0.000], [0.000, 0.000, 8.253]], "species": ["Cr", "Cr", "Cr", "Au"], "frac_coords": [[0.000, 0.000, 0.000], [0.333, 0.667, 0.216], [0.333, 0.667, 0.784], [0.000, 0.000, 0.500]]}

***

{"formula": "Cr3Au", "functional": "PBE", "state": "optimized geometry", "mass_density_g_cm3": 10.43, "ef_ev_per_atom": 0.417, "spacegroup": "C2/m (12)", "final_energy_ry_per_atom": -0.5601, "cell": [[4.371, -1.400, 0.000], [4.371, 1.400, 0.000], [-0.721, 0.000, 4.593]], "species": ["Cr", "Cr", "Cr", "Au"], "frac_coords": [[0.000, 0.000, 0.000], [0.247, 0.247, 0.818], [0.753, 0.753, 0.182], [0.500, 0.500, 0.500]]}

***

{"formula": "Cr4Au3", "functional": "PBE", "state": "optimized geometry", "mass_density_g_cm3": 12.30, "ef_ev_per_atom": 0.174, "spacegroup": "I4/mmm (139)", "final_energy_ry_per_atom": -0.4946, "cell": [[-1.560, 1.560, 11.071], [1.560, -1.560, 11.071], [1.560, 1.560, -11.071]], "species": ["Cr", "Cr", "Cr", "Cr", "Au", "Au", "Au"], "frac_coords": [[0.078, 0.078, 0.000], [0.371, 0.371, 0.000], [0.629, 0.629, 0.000], [0.922, 0.922, 0.000], [0.207, 0.207, 0.000], [0.500, 0.500, 0.000], [0.793, 0.793, 0.000]]}

***

{"formula": "CrAu5", "functional": "PBE", "state": "optimized geometry", "mass_density_g_cm3": 16.17, "ef_ev_per_atom": 0.067, "spacegroup": "Cm (8)", "final_energy_ry_per_atom": -0.3137, "cell": [[5.434, -1.490, 0.000], [5.434, 1.490, 0.000], [-2.001, 0.000, 6.576]], "species": ["Cr", "Au", "Au", "Au", "Au", "Au"], "frac_coords": [[0.000, 0.000, 0.000], [0.289, 0.289, 0.068], [0.338, 0.338, 0.674], [0.616, 0.616, 0.745], [0.663, 0.663, 0.323], [0.954, 0.954, 0.400]]}

***

{"formula": "CrAu5", "functional": "PBE", "state": "optimized geometry", "mass_density_g_cm3": 16.24, "ef_ev_per_atom": 0.039, "spacegroup": "C2/m (12)", "final_energy_ry_per_atom": -0.3157, "cell": [[2.530, -4.408, 0.000], [2.530, 4.408, 0.000], [-1.692, 0.000, 4.751]], "species": ["Cr", "Au", "Au", "Au", "Au", "Au"], "frac_coords": [[0.000, 0.000, 0.000], [0.163, 0.837, 0.500], [0.333, 0.667, 0.000], [0.500, 0.500, 0.500], [0.667, 0.333, 0.000], [0.837, 0.163, 0.500]]}

***

{"formula": "Cr5Au", "functional": "PBE", "state": "optimized geometry", "mass_density_g_cm3": 9.50, "relative_energy_ev_per_atom": 0.0517, "ef_ev_per_atom": 0.272, "spacegroup": "Amm2 (38)", "final_energy_ry_per_atom": -0.6095, "cell": [[4.226, 0.000, 0.000], [0.000, 1.505, 6.278], [0.000, -1.505, 6.278]], "species": ["Cr", "Cr", "Cr", "Cr", "Cr", "Au"], "frac_coords": [[0.000, 0.000, 0.000], [0.000, 0.315, 0.315], [0.000, 0.649, 0.649], [0.500, 0.158, 0.158], [0.500, 0.797, 0.797], [0.500, 0.473, 0.473]]}

***

{"formula": "Cr3Au", "functional": "PBE", "state": "optimized geometry", "mass_density_g_cm3": 9.97, "ef_ev_per_atom": 0.261, "spacegroup": "P4/mmm (123)", "final_energy_ry_per_atom": -0.5715, "cell": [[4.027, 0.000, 0.000], [0.000, 4.027, 0.000], [0.000, 0.000, 3.624]], "species": ["Cr", "Cr", "Cr", "Au"], "frac_coords": [[0.000, 0.000, 0.000], [0.000, 0.500, 0.500], [0.500, 0.000, 0.500], [0.500, 0.500, 0.000]]}

***

{"formula": "Cr3Au", "functional": "PBE", "state": "optimized geometry", "mass_density_g_cm3": 4.28, "ef_ev_per_atom": 1.735, "spacegroup": "Pm-3m (221)", "final_energy_ry_per_atom": -0.4632, "cell": [[5.156, 0.000, 0.000], [0.000, 5.156, 0.000], [0.000, 0.000, 5.156]], "species": ["Cr", "Cr", "Cr", "Au"], "frac_coords": [[0.000, 0.000, 0.500], [0.000, 0.500, 0.000], [0.500, 0.000, 0.000], [0.000, 0.000, 0.000]]}

***

{"formula": "Cr3Au", "functional": "PBE", "state": "optimized geometry", "mass_density_g_cm3": 10.72, "ef_ev_per_atom": 0.405, "spacegroup": "Pmm2 (25)", "final_energy_ry_per_atom": -0.5610, "cell": [[2.940, 0.000, 0.000], [0.000, 4.159, 0.000], [0.000, 0.000, 4.471]], "species": ["Cr", "Cr", "Cr", "Au"], "frac_coords": [[0.000, 0.000, 0.000], [0.000, 0.500, 0.336], [0.500, 0.500, 0.930], [0.500, 0.000, 0.514]]}